Material: La4Dy2Ho3
Method: DFT, PBE
State: relaxed

Lattice parameters (Å, degrees): 3.554 9.915 8.976 79.36 101.42 90.00
Sites, in units of the cell vectors:
La: 0.503 0.670 0.005
Dy: 0.676 0.119 0.353
Ho: 0.166 0.448 0.332
La: 0.661 0.781 0.321
La: 0.339 0.219 0.679
Ho: 0.000 0.000 0.000
Dy: 0.324 0.881 0.647
Ho: 0.834 0.552 0.668
La: 0.497 0.330 0.995

Values from the calculation:
As for the distance to the lowest polymorph of the same formula: 36 meV per atom. For the calculated formation energy, the calculation gives 0.6 eV per formula unit. The symmetry is C2/m (12). The value obtained for the density of states at the Fermi level is 14.52 states/eV/cell. As for the total energy: -4.6715 eV per atom.